[1]
Entry from Alexandria: a relaxed structure of CaTmGePt (PBE).

Output
* density of states at the Fermi level: 8.88 states/eV per cell
* energy relative to the elements: -825 meV/atom
* total DFT energy (no corrections): -0.3754 Ry/atom

Geometry as CIF:
```
data_CaTmGePt
_chemical_formula_sum 'Ca4 Tm4 Ge4 Pt4'
_space_group_name_H-M_alt 'F -4 3 m'
_space_group_IT_number 216
_space_group_name_Hall 'F -4 2 3'
_cell_length_a 7.028
_cell_length_b 7.028
_cell_length_c 7.028
_cell_angle_alpha 90.00
_cell_angle_beta 90.00
_cell_angle_gamma 90.00
loop_
_atom_site_label
_atom_site_fract_x
_atom_site_fract_y
_atom_site_fract_z
Ca1 0.000 0.000 0.000
Tm1 0.000 0.000 0.500
Ge1 0.250 0.250 0.750
Pt1 0.250 0.250 0.250
```

***

[2]
Entry from Alexandria: a relaxed structure of LaMg3Cd (PBE).

Output
* energy above the most stable polymorph in this dataset: 1.180 eV per atom
* density of states at the Fermi level: 8.17 states/eV per cell
* energy relative to the elements: 1049 meV/atom
* total DFT energy (no corrections): -0.0791 Ry/atom

Geometry as CIF:
```
data_LaMg3Cd
_chemical_formula_sum 'La1 Mg3 Cd1'
_space_group_name_H-M_alt 'P m -3 m'
_space_group_IT_number 221
_space_group_name_Hall '-P 4 2 3'
_cell_length_a 6.297
_cell_length_b 6.297
_cell_length_c 6.297
_cell_angle_alpha 90.00
_cell_angle_beta 90.00
_cell_angle_gamma 90.00
loop_
_atom_site_label
_atom_site_fract_x
_atom_site_fract_y
_atom_site_fract_z
La1 0.000 0.000 0.000
Mg1 0.000 0.000 0.500
Cd1 0.500 0.500 0.500
```

***

[3]
Entry from Alexandria: a relaxed structure of AlZnPd (PBE).

Output
* energy above the most stable polymorph in this dataset: 0.048 eV per atom
* density of states at the Fermi level: 1.50 states/eV per cell
* energy relative to the elements: -484 meV/atom
* total DFT energy (no corrections): -0.2857 Ry/atom

Geometry as CIF:
```
data_AlZnPd
_chemical_formula_sum 'Al2 Zn2 Pd2'
_space_group_name_H-M_alt 'P m m a'
_space_group_IT_number 51
_cell_length_a 4.782
_cell_length_b 2.876
_cell_length_c 6.594
_cell_angle_alpha 90.00
_cell_angle_beta 90.00
_cell_angle_gamma 90.00
loop_
_space_group_symop_operation_xyz
'x,y,z'
'-x,-y,-z'
'-x+1/2,-y,z'
'x+1/2,y,-z'
'x+1/2,-y,-z'
'-x+1/2,y,z'
'-x,y,-z'
'x,-y,z'
loop_
_atom_site_label
_atom_site_fract_x
_atom_site_fract_y
_atom_site_fract_z
Al1 0.250 0.000 0.143
Zn1 0.000 0.000 0.500
Pd1 0.250 0.500 0.818
```

***

[4]
Entry from Alexandria: a relaxed structure of KLiSc2Te4 (PBE).

Output
* E_form (uncorrected): -111.9 kJ per mole of atoms
* total DFT energy (no corrections): -0.3447 Ry/atom

Geometry as CIF:
```
data_KLiSc2Te4
_chemical_formula_sum 'K4 Li4 Sc8 Te16'
_space_group_name_H-M_alt 'C m c m'
_space_group_IT_number 63
_space_group_name_Hall '-C 2c 2'
_cell_length_a 4.307
_cell_length_b 14.440
_cell_length_c 15.209
_cell_angle_alpha 90.00
_cell_angle_beta 90.00
_cell_angle_gamma 90.00
loop_
_atom_site_label
_atom_site_fract_x
_atom_site_fract_y
_atom_site_fract_z
K1 0.000 0.118 0.250
Li1 0.000 0.168 0.750
Sc1 0.000 0.369 0.066
Te1 0.000 0.000 0.000
Te2 0.000 0.266 0.602
Te3 0.000 0.436 0.250
```

***

[5]
Entry from Alexandria: a relaxed structure of Te2RuSe (PBE).

Output
* density of states at the Fermi level: 13.36 states/eV per cell
* E_form (uncorrected): 59.5 kJ per mole of atoms
* total DFT energy (no corrections): -0.3046 Ry/atom

Geometry as CIF:
```
data_Te2RuSe
_chemical_formula_sum 'Te6 Ru3 Se3'
_space_group_name_H-M_alt 'R -3 m'
_space_group_IT_number 166
_space_group_name_Hall '-R 3 2"'
_cell_length_a 3.0651
_cell_length_b 3.0651
_cell_length_c 36.8081
_cell_angle_alpha 90.00
_cell_angle_beta 90.00
_cell_angle_gamma 120.00
loop_
_atom_site_label
_atom_site_fract_x
_atom_site_fract_y
_atom_site_fract_z
Te1 0.0000 0.0000 0.0694
Ru1 0.0000 0.0000 0.0000
Se1 0.0000 0.0000 0.5000
```

***

[6]
Entry from Alexandria: a relaxed structure of Ac3NdTl4 (PBE).

Output
* energy above the most stable polymorph in this dataset: 0.000 eV per atom
* density of states at the Fermi level: 7.59 states/eV per cell
* energy relative to the elements: -357 meV/atom
* total DFT energy (no corrections): -0.2703 Ry/atom

Geometry as CIF:
```
data_Ac3NdTl4
_chemical_formula_sum 'Ac3 Nd1 Tl4'
_space_group_name_H-M_alt 'P 4/m m m'
_space_group_IT_number 123
_space_group_name_Hall '-P 4 2'
_cell_length_a 4.049
_cell_length_b 4.049
_cell_length_c 16.526
_cell_angle_alpha 90.00
_cell_angle_beta 90.00
_cell_angle_gamma 90.00
loop_
_atom_site_label
_atom_site_fract_x
_atom_site_fract_y
_atom_site_fract_z
Ac1 0.000 0.000 0.000
Ac2 0.000 0.000 0.259
Nd1 0.000 0.000 0.500
Tl1 0.500 0.500 0.130
Tl2 0.500 0.500 0.390
```

***

[7]
Entry from Alexandria: a relaxed structure of NbIn2Cu (PBE).

Output
* density of states at the Fermi level: 1.03 states/eV per cell
* energy relative to the elements: 46 meV/atom
* total DFT energy (no corrections): -0.3576 Ry/atom

Geometry as CIF:
```
data_NbIn2Cu
_chemical_formula_sum 'Nb1 In2 Cu1'
_space_group_name_H-M_alt 'P 4/m m m'
_space_group_IT_number 123
_space_group_name_Hall '-P 4 2'
_cell_length_a 4.270
_cell_length_b 4.270
_cell_length_c 4.054
_cell_angle_alpha 90.00
_cell_angle_beta 90.00
_cell_angle_gamma 90.00
loop_
_atom_site_label
_atom_site_fract_x
_atom_site_fract_y
_atom_site_fract_z
Nb1 0.000 0.000 0.000
In1 0.000 0.500 0.500
Cu1 0.500 0.500 0.000
```

***

[8]
Entry from Alexandria: a relaxed structure of NiSnPAu2 (PBE).

Output
* density of states at the Fermi level: 4.64 states/eV per cell
* energy relative to the elements: 686 meV/atom
* total DFT energy (no corrections): -0.2693 Ry/atom

Geometry as CIF:
```
data_NiSnPAu2
_chemical_formula_sum 'Ni1 Sn1 P1 Au2'
_space_group_name_H-M_alt 'P 4/m m m'
_space_group_IT_number 123
_space_group_name_Hall '-P 4 2'
_cell_length_a 4.590
_cell_length_b 4.590
_cell_length_c 5.631
_cell_angle_alpha 90.00
_cell_angle_beta 90.00
_cell_angle_gamma 90.00
loop_
_atom_site_label
_atom_site_fract_x
_atom_site_fract_y
_atom_site_fract_z
Ni1 0.000 0.000 0.000
Sn1 0.500 0.500 0.000
P1 0.500 0.500 0.500
Au1 0.000 0.500 0.500
```

***

What is the total DFT energy (no corrections) in the fourth record?
-0.3447 Ry/atom

***

Among the records above, which one has the lowest total DFT energy (no corrections)?
CaTmGePt

***

What did the first record say?
Entry from Alexandria: a relaxed structure of CaTmGePt (PBE).

Output
* density of states at the Fermi level: 8.88 states/eV per cell
* energy relative to the elements: -825 meV/atom
* total DFT energy (no corrections): -0.3754 Ry/atom

Geometry as CIF:
```
data_CaTmGePt
_chemical_formula_sum 'Ca4 Tm4 Ge4 Pt4'
_space_group_name_H-M_alt 'F -4 3 m'
_space_group_IT_number 216
_space_group_name_Hall 'F -4 2 3'
_cell_length_a 7.028
_cell_length_b 7.028
_cell_length_c 7.028
_cell_angle_alpha 90.00
_cell_angle_beta 90.00
_cell_angle_gamma 90.00
loop_
_atom_site_label
_atom_site_fract_x
_atom_site_fract_y
_atom_site_fract_z
Ca1 0.000 0.000 0.000
Tm1 0.000 0.000 0.500
Ge1 0.250 0.250 0.750
Pt1 0.250 0.250 0.250
```